A relaxed HgRuPb2 crystal. Source: Alexandria, functional PBE-GGA.

* total magnetization: 0.0 μB/cell
* ΔH_f (0 K): 0.3929 eV/atom

The structure in extended XYZ format:
```
4
Lattice="3.569 0.000 0.000 0.000 4.761 0.000 -1.771 0.000 5.443" Properties=species:S:1:pos:R:3 pbc="T T T"
Hg 0.000 0.000 0.000
Ru 1.795 2.381 3.794
Pb 0.014 0.000 2.980
Pb 1.781 2.381 0.826
```


A relaxed Ca3Nd3DySe8 crystal. Source: Alexandria, functional PBE-GGA.

* formation energy (no corrections): -1926 meV per atom
* total magnetization: 0.0 μB/cell

The structure in extended XYZ format:
```
15
Lattice="4.192 2.420 6.911 -4.192 2.420 6.911 0.000 -4.841 6.911" Properties=species:S:1:pos:R:3 pbc="T T T"
Ca -2.096 -1.210 6.911
Ca -2.096 1.210 13.822
Ca 0.000 2.420 6.911
Nd -4.192 0.000 10.367
Nd -2.096 1.210 3.456
Nd 2.096 1.210 3.456
Dy 0.000 0.000 10.367
Se 0.000 0.000 5.224
Se 0.000 -2.354 8.672
Se -2.039 1.177 8.672
Se -2.039 -1.177 12.061
Se 2.039 1.177 8.672
Se 2.039 -1.177 12.061
Se 0.000 2.354 12.061
Se 0.000 0.000 15.510
```


A relaxed Fe2RhW crystal. Source: Alexandria, functional PBE-GGA.

* energy above the lowest structure with this stoichiometry: 13.1 kJ/mol of atoms
* total magnetization: 4.9 μB/cell
* ΔH_f (0 K): 0.1278 eV/atom

The structure in extended XYZ format:
```
4
Lattice="0.000 3.007 3.007 3.007 0.000 3.007 3.007 3.007 0.000" Properties=species:S:1:pos:R:3 pbc="T T T"
Fe 0.000 0.000 0.000
Fe 1.504 1.504 1.504
Rh 4.511 4.511 4.511
W 3.007 3.007 3.007
```


A relaxed Ho2Ga3Pt4 crystal. Source: Alexandria, functional PBE-GGA.

* total magnetization: 0.0 μB/cell
* ΔH_f (0 K): -1.0354 eV/atom

The structure in extended XYZ format:
```
18
Lattice="2.799 -7.636 0.000 2.799 7.636 0.000 0.000 0.000 7.606" Properties=species:S:1:pos:R:3 pbc="T T T"
Ho 2.799 6.013 6.908
Ho 2.799 1.623 3.105
Ho 2.799 -1.623 4.501
Ho 2.799 -6.013 0.698
Ga 0.000 0.000 3.803
Ga 1.399 3.526 5.705
Ga 1.399 -3.526 1.902
Ga 2.799 0.000 0.000
Ga 4.198 3.526 5.705
Ga 4.198 -3.526 1.902
Pt 2.799 4.881 3.995
Pt 1.399 0.906 5.705
Pt 1.399 -0.906 1.902
Pt 2.799 2.755 0.192
Pt 2.799 -2.755 7.414
Pt 4.198 0.906 5.705
Pt 4.198 -0.906 1.902
Pt 2.799 -4.881 3.611
```


A relaxed Ta2NiOs crystal. Source: Alexandria, functional PBE-GGA.

* energy above the lowest structure with this stoichiometry: 0.0 kJ/mol of atoms
* total magnetization: 0.0 μB/cell
* ΔH_f (0 K): -0.2507 eV/atom

The structure in extended XYZ format:
```
4
Lattice="0.000 2.917 3.638 2.912 0.000 3.638 2.912 2.917 0.000" Properties=species:S:1:pos:R:3 pbc="T T T"
Ta 1.456 1.458 1.819
Ta 4.367 4.375 5.458
Ni 0.000 0.000 0.000
Os 2.912 2.917 3.638
```


A relaxed LiNbAu2 crystal. Source: Alexandria, functional PBE-GGA.

* total magnetization: 0.0 μB/cell
* ΔH_f (0 K): 0.1068 eV/atom

The structure in extended XYZ format:
```
4
Lattice="1.424 0.822 10.158 -1.424 0.822 10.158 0.000 -1.644 10.158" Properties=species:S:1:pos:R:3 pbc="T T T"
Li 0.000 0.000 0.000
Nb 0.000 0.000 15.237
Au 0.000 0.000 12.363
Au 0.000 0.000 18.111
```